Compound: SmPuSi
Source: Alexandria
Functional: PBE-GGA
Structure: relaxed

```
data_SmPuSi
_cell_length_a 6.953
_cell_length_b 6.953
_cell_length_c 6.953
_cell_angle_alpha 90.00
_cell_angle_beta 90.00
_cell_angle_gamma 90.00
_space_group_name_H-M_alt 'F -4 3 m'
_space_group_IT_number 216
_space_group_name_Hall 'F -4 2 3'
loop_
_atom_site_label
_atom_site_type_symbol
_atom_site_fract_x
_atom_site_fract_y
_atom_site_fract_z
_atom_site_occupancy
Sm1 Sm 0.000 0.000 0.000 1
Pu1 Pu 0.000 0.000 0.500 1
Si1 Si 0.250 0.250 0.250 1
```

Properties
**Density of states at the Fermi level**: 30.458 states/eV/cell
**ΔE_f (raw)**: -0.56 eV/f.u.
**Calculated volume**: 28.01 Å³/atom
**Polymorph energy (0 for the lowest one)**: 0.0 meV/atom